Run a
The following is a GGA-PBE calculation of a relaxed structure of NaThHg, from OQMD via LeMat-Bulk.

As for the total moment: 0.0 μB/f.u.

abc: 7.2923 7.2923 7.2923
angles: 90.00 90.00 90.00
With the nearest neighbours (Å) after each atom.
Fractional coordinates of all 12 atoms:
Na1 0.0000 0.0000 0.0000  4 Th 3.16
Na2 0.0000 0.5000 0.5000  4 Th 3.16
Na3 0.5000 0.0000 0.5000  4 Th 3.16
Na4 0.5000 0.5000 0.0000  4 Th 3.16
Th1 0.2500 0.2500 0.7500  4 Hg 3.16, 4 Na 3.16
Th2 0.2500 0.7500 0.2500  4 Hg 3.16, 4 Na 3.16
Th3 0.7500 0.2500 0.2500  4 Hg 3.16, 4 Na 3.16
Th4 0.7500 0.7500 0.7500  4 Hg 3.16, 4 Na 3.16
Hg1 0.0000 0.0000 0.5000  4 Th 3.16
Hg2 0.0000 0.5000 0.0000  4 Th 3.16
Hg3 0.5000 0.0000 0.0000  4 Th 3.16
Hg4 0.5000 0.5000 0.5000  4 Th 3.16

=====

Run b
The following is a GGA-PBE calculation of a relaxed structure of NaThHg, from OQMD via LeMat-Bulk.

As for the total moment: 0.0 μB/f.u.

abc: 7.1854 7.1854 7.1854
angles: 90.00 90.00 90.00
With the nearest neighbours (Å) after each atom.
Fractional coordinates of all 12 atoms:
Na1 0.0000 0.0000 0.0000  4 Hg 3.11
Na2 0.0000 0.5000 0.5000  4 Hg 3.11
Na3 0.5000 0.0000 0.5000  4 Hg 3.11
Na4 0.5000 0.5000 0.0000  4 Hg 3.11
Th1 0.0000 0.0000 0.5000  4 Hg 3.11
Th2 0.0000 0.5000 0.0000  4 Hg 3.11
Th3 0.5000 0.0000 0.0000  4 Hg 3.11
Th4 0.5000 0.5000 0.5000  4 Hg 3.11
Hg1 0.2500 0.2500 0.2500  4 Th 3.11, 4 Na 3.11
Hg2 0.2500 0.7500 0.7500  4 Th 3.11, 4 Na 3.11
Hg3 0.7500 0.2500 0.7500  4 Th 3.11, 4 Na 3.11
Hg4 0.7500 0.7500 0.2500  4 Th 3.11, 4 Na 3.11

=====

Stability summary: most stable run b, least stable run a.

=====

Run a
The following is a GGA-PBE calculation of a relaxed structure of NaUHg, from OQMD via LeMat-Bulk.

As for the total moment: 4.3 μB/f.u.

abc: 7.2570 7.2570 7.2570
angles: 90.00 90.00 90.00
With the nearest neighbours (Å) after each atom.
Fractional coordinates of all 12 atoms:
Na1 0.0000 0.0000 0.0000  4 U 3.14
Na2 0.0000 0.5000 0.5000  4 U 3.14
Na3 0.5000 0.0000 0.5000  4 U 3.14
Na4 0.5000 0.5000 0.0000  4 U 3.14
U1 0.2500 0.2500 0.7500  4 Hg 3.14, 4 Na 3.14
U2 0.2500 0.7500 0.2500  4 Hg 3.14, 4 Na 3.14
U3 0.7500 0.2500 0.2500  4 Hg 3.14, 4 Na 3.14
U4 0.7500 0.7500 0.7500  4 Hg 3.14, 4 Na 3.14
Hg1 0.0000 0.0000 0.5000  4 U 3.14
Hg2 0.0000 0.5000 0.0000  4 U 3.14
Hg3 0.5000 0.0000 0.0000  4 U 3.14
Hg4 0.5000 0.5000 0.5000  4 U 3.14

=====

Run b
The following is a GGA-PBE calculation of a relaxed structure of NaUHg, from OQMD via LeMat-Bulk.

As for the total moment: 3.8 μB/f.u.

abc: 7.1443 7.1443 7.1443
angles: 90.00 90.00 90.00
With the nearest neighbours (Å) after each atom.
Fractional coordinates of all 12 atoms:
Na1 0.0000 0.0000 0.0000  4 Hg 3.09
Na2 0.0000 0.5000 0.5000  4 Hg 3.09
Na3 0.5000 0.0000 0.5000  4 Hg 3.09
Na4 0.5000 0.5000 0.0000  4 Hg 3.09
U1 0.0000 0.0000 0.5000  4 Hg 3.09
U2 0.0000 0.5000 0.0000  4 Hg 3.09
U3 0.5000 0.0000 0.0000  4 Hg 3.09
U4 0.5000 0.5000 0.5000  4 Hg 3.09
Hg1 0.2500 0.2500 0.2500  4 Na 3.09, 4 U 3.09
Hg2 0.2500 0.7500 0.7500  4 Na 3.09, 4 U 3.09
Hg3 0.7500 0.2500 0.7500  4 Na 3.09, 4 U 3.09
Hg4 0.7500 0.7500 0.2500  4 Na 3.09, 4 U 3.09

=====

Stability summary: most stable run b, least stable run a.

=====

Run a
The following is a GGA-PBE calculation of a relaxed structure of NbNiHg, from OQMD via LeMat-Bulk.

As for the total moment: 0.2 μB/f.u.

abc: 6.2025 6.2025 6.2025
angles: 90.00 90.00 90.00
With the nearest neighbours (Å) after each atom.
Fractional coordinates of all 12 atoms:
Nb1 0.0000 0.0000 0.0000  4 Hg 2.69, 4 Ni 2.69
Nb2 0.0000 0.5000 0.5000  4 Hg 2.69, 4 Ni 2.69
Nb3 0.5000 0.0000 0.5000  4 Hg 2.69, 4 Ni 2.69
Nb4 0.5000 0.5000 0.0000  4 Hg 2.69, 4 Ni 2.69
Ni1 0.2500 0.2500 0.7500  4 Nb 2.69
Ni2 0.2500 0.7500 0.2500  4 Nb 2.69
Ni3 0.7500 0.2500 0.2500  4 Nb 2.69
Ni4 0.7500 0.7500 0.7500  4 Nb 2.69
Hg1 0.2500 0.2500 0.2500  4 Nb 2.69
Hg2 0.2500 0.7500 0.7500  4 Nb 2.69
Hg3 0.7500 0.2500 0.7500  4 Nb 2.69
Hg4 0.7500 0.7500 0.2500  4 Nb 2.69

=====

Run b
The following is a GGA-PBE calculation of a relaxed structure of NbNiHg, from OQMD via LeMat-Bulk.

As for the total moment: 0.0 μB/f.u.

abc: 5.9958 5.9958 5.9958
angles: 90.00 90.00 90.00
With the nearest neighbours (Å) after each atom.
Fractional coordinates of all 12 atoms:
Nb1 0.0000 0.0000 0.0000  4 Ni 2.60
Nb2 0.0000 0.5000 0.5000  4 Ni 2.60
Nb3 0.5000 0.0000 0.5000  4 Ni 2.60
Nb4 0.5000 0.5000 0.0000  4 Ni 2.60
Ni1 0.2500 0.2500 0.7500  4 Hg 2.60, 4 Nb 2.60
Ni2 0.2500 0.7500 0.2500  4 Hg 2.60, 4 Nb 2.60
Ni3 0.7500 0.2500 0.2500  4 Hg 2.60, 4 Nb 2.60
Ni4 0.7500 0.7500 0.7500  4 Nb 2.60, 4 Hg 2.60
Hg1 0.0000 0.0000 0.5000  4 Ni 2.60
Hg2 0.0000 0.5000 0.0000  4 Ni 2.60
Hg3 0.5000 0.0000 0.0000  4 Ni 2.60
Hg4 0.5000 0.5000 0.5000  4 Ni 2.60

=====

Stability summary: most stable run b, least stable run a.

=====

Run a
The following is a GGA-PBE calculation of a relaxed structure of NbNiHgPb, from OQMD via LeMat-Bulk.

As for the total moment: 1.2 μB/f.u.

abc: 6.7404 6.7404 6.7404
angles: 90.00 90.00 90.00
With the nearest neighbours (Å) after each atom.
Fractional coordinates of all 16 atoms:
Nb1 0.0000 0.0000 0.0000  4 Hg 2.92, 4 Pb 2.92
Nb2 0.0000 0.5000 0.5000  4 Hg 2.92, 4 Pb 2.92
Nb3 0.5000 0.0000 0.5000  4 Hg 2.92, 4 Pb 2.92
Nb4 0.5000 0.5000 0.0000  4 Hg 2.92, 4 Pb 2.92
Ni1 0.0000 0.0000 0.5000  4 Pb 2.92, 4 Hg 2.92
Ni2 0.0000 0.5000 0.0000  4 Pb 2.92, 4 Hg 2.92
Ni3 0.5000 0.0000 0.0000  4 Pb 2.92, 4 Hg 2.92
Ni4 0.5000 0.5000 0.5000  4 Pb 2.92, 4 Hg 2.92
Hg1 0.2500 0.2500 0.7500  4 Nb 2.92, 4 Ni 2.92
Hg2 0.2500 0.7500 0.2500  4 Nb 2.92, 4 Ni 2.92
Hg3 0.7500 0.2500 0.2500  4 Nb 2.92, 4 Ni 2.92
Hg4 0.7500 0.7500 0.7500  4 Nb 2.92, 4 Ni 2.92
Pb1 0.2500 0.2500 0.2500  4 Nb 2.92, 4 Ni 2.92
Pb2 0.2500 0.7500 0.7500  4 Nb 2.92, 4 Ni 2.92
Pb3 0.7500 0.2500 0.7500  4 Nb 2.92, 4 Ni 2.92
Pb4 0.7500 0.7500 0.2500  4 Nb 2.92, 4 Ni 2.92

=====

Run b
The following is a GGA-PBE calculation of a relaxed structure of NbNiHgPb, from OQMD via LeMat-Bulk.

As for the total moment: 1.0 μB/f.u.

abc: 6.8018 6.8018 6.8018
angles: 90.00 90.00 90.00
With the nearest neighbours (Å) after each atom.
Fractional coordinates of all 16 atoms:
Nb1 0.0000 0.0000 0.0000  4 Hg 2.95, 4 Ni 2.95
Nb2 0.0000 0.5000 0.5000  4 Hg 2.95, 4 Ni 2.95
Nb3 0.5000 0.0000 0.5000  4 Hg 2.95, 4 Ni 2.95
Nb4 0.5000 0.5000 0.0000  4 Hg 2.95, 4 Ni 2.95
Ni1 0.2500 0.2500 0.7500  4 Nb 2.95, 4 Pb 2.95
Ni2 0.2500 0.7500 0.2500  4 Nb 2.95, 4 Pb 2.95
Ni3 0.7500 0.2500 0.2500  4 Nb 2.95, 4 Pb 2.95
Ni4 0.7500 0.7500 0.7500  4 Pb 2.95, 4 Nb 2.95
Hg1 0.2500 0.2500 0.2500  4 Nb 2.95, 4 Pb 2.95
Hg2 0.2500 0.7500 0.7500  4 Nb 2.95, 4 Pb 2.95
Hg3 0.7500 0.2500 0.7500  4 Nb 2.95, 4 Pb 2.95
Hg4 0.7500 0.7500 0.2500  4 Nb 2.95, 4 Pb 2.95
Pb1 0.0000 0.0000 0.5000  4 Hg 2.95, 4 Ni 2.95
Pb2 0.0000 0.5000 0.0000  4 Ni 2.95, 4 Hg 2.95
Pb3 0.5000 0.0000 0.0000  4 Ni 2.95, 4 Hg 2.95
Pb4 0.5000 0.5000 0.5000  4 Hg 2.95, 4 Ni 2.95

=====

Stability summary: most stable run a, least stable run b.

=====

Run a
The following is a GGA-PBE calculation of a relaxed structure of NbZnNiHg, from OQMD via LeMat-Bulk.

As for the total moment: 0.1 μB/f.u.

abc: 6.3707 6.3707 6.3707
angles: 90.00 90.00 90.00
With the nearest neighbours (Å) after each atom.
Fractional coordinates of all 16 atoms:
Nb1 0.0000 0.0000 0.0000  4 Hg 2.76, 4 Zn 2.76
Nb2 0.0000 0.5000 0.5000  4 Hg 2.76, 4 Zn 2.76
Nb3 0.5000 0.0000 0.5000  4 Hg 2.76, 4 Zn 2.76
Nb4 0.5000 0.5000 0.0000  4 Hg 2.76, 4 Zn 2.76
Zn1 0.2500 0.2500 0.2500  4 Nb 2.76, 4 Ni 2.76
Zn2 0.2500 0.7500 0.7500  4 Nb 2.76, 4 Ni 2.76
Zn3 0.7500 0.2500 0.7500  4 Nb 2.76, 4 Ni 2.76
Zn4 0.7500 0.7500 0.2500  4 Nb 2.76, 4 Ni 2.76
Ni1 0.0000 0.0000 0.5000  4 Hg 2.76, 4 Zn 2.76
Ni2 0.0000 0.5000 0.0000  4 Hg 2.76, 4 Zn 2.76
Ni3 0.5000 0.0000 0.0000  4 Hg 2.76, 4 Zn 2.76
Ni4 0.5000 0.5000 0.5000  4 Hg 2.76, 4 Zn 2.76
Hg1 0.2500 0.2500 0.7500  4 Nb 2.76, 4 Ni 2.76
Hg2 0.2500 0.7500 0.2500  4 Nb 2.76, 4 Ni 2.76
Hg3 0.7500 0.2500 0.2500  4 Nb 2.76, 4 Ni 2.76
Hg4 0.7500 0.7500 0.7500  4 Nb 2.76, 4 Ni 2.76

=====

Run b
The following is a GGA-PBE calculation of a relaxed structure of NbZnNiHg, from OQMD via LeMat-Bulk.

As for the total moment: 0.0 μB/f.u.

abc: 6.3728 6.3728 6.3728
angles: 90.00 90.00 90.00
With the nearest neighbours (Å) after each atom.
Fractional coordinates of all 16 atoms:
Nb1 0.0000 0.0000 0.0000  4 Ni 2.76, 4 Hg 2.76
Nb2 0.0000 0.5000 0.5000  4 Hg 2.76, 4 Ni 2.76
Nb3 0.5000 0.0000 0.5000  4 Hg 2.76, 4 Ni 2.76
Nb4 0.5000 0.5000 0.0000  4 Hg 2.76, 4 Ni 2.76
Zn1 0.0000 0.0000 0.5000  4 Hg 2.76, 4 Ni 2.76
Zn2 0.0000 0.5000 0.0000  4 Hg 2.76, 4 Ni 2.76
Zn3 0.5000 0.0000 0.0000  4 Hg 2.76, 4 Ni 2.76
Zn4 0.5000 0.5000 0.5000  4 Hg 2.76, 4 Ni 2.76
Ni1 0.2500 0.2500 0.7500  4 Nb 2.76, 4 Zn 2.76
Ni2 0.2500 0.7500 0.2500  4 Nb 2.76, 4 Zn 2.76
Ni3 0.7500 0.2500 0.2500  4 Nb 2.76, 4 Zn 2.76
Ni4 0.7500 0.7500 0.7500  4 Nb 2.76, 4 Zn 2.76
Hg1 0.2500 0.2500 0.2500  4 Nb 2.76, 4 Zn 2.76
Hg2 0.2500 0.7500 0.7500  4 Nb 2.76, 4 Zn 2.76
Hg3 0.7500 0.2500 0.7500  4 Nb 2.76, 4 Zn 2.76
Hg4 0.7500 0.7500 0.2500  4 Nb 2.76, 4 Zn 2.76

=====

Stability summary: most stable run b, least stable run a.

=====

Run a
The following is a GGA-PBE calculation of a relaxed structure of NbHgPO, from OQMD via LeMat-Bulk.

As for the total moment: 0.2 μB/f.u.

abc: 3.5828 3.5828 10.8493
angles: 90.00 90.00 90.00
With the nearest neighbours (Å) after each atom.
Fractional coordinates of all 8 atoms:
Nb1 0.2500 0.2500 0.1178  4 O 2.20
Nb2 0.7500 0.7500 0.8822  4 O 2.20
Hg1 0.2500 0.7500 0.5000  4 Hg 2.53
Hg2 0.7500 0.2500 0.5000  4 Hg 2.53
P1 0.2500 0.2500 0.7753  4 Nb 2.79, 4 O 3.02
P2 0.7500 0.7500 0.2247  4 Nb 2.79, 4 O 3.02
O1 0.2500 0.7500 0.0000  4 Nb 2.20
O2 0.7500 0.2500 0.0000  4 Nb 2.20

=====

Run b
The following is a GGA-PBE calculation of a relaxed structure of NbHgPO, from OQMD via LeMat-Bulk.

As for the total moment: 0.0 μB/f.u.

abc: 3.4995 6.7673 7.2149
angles: 90.00 90.00 90.00
With the nearest neighbours (Å) after each atom.
Fractional coordinates of all 8 atoms:
Nb1 0.0000 0.0990 0.0000  2 O 1.94-1.95
Nb2 0.0000 0.9010 0.5000  2 O 1.94-1.95
Hg1 0.5000 0.2899 0.5447  1 P 2.62
Hg2 0.5000 0.7101 0.0447  1 P 2.62
P1 0.5000 0.3362 0.9509  2 Nb 2.40, 1 Hg 2.62
P2 0.5000 0.6638 0.4509  2 Nb 2.40, 1 Hg 2.62
O1 0.0000 0.0363 0.2621  2 Nb 1.94-1.95
O2 0.0000 0.9637 0.7621  2 Nb 1.94-1.95

=====

Stability summary: most stable run b, least stable run a.

=====

Run a
The following is a GGA-PBE calculation of a relaxed structure of NbHgPO, from OQMD via LeMat-Bulk.

As for the total moment: 0.0 μB/f.u.

abc: 3.7935 8.3145 5.0214
angles: 90.00 90.00 90.00
With the nearest neighbours (Å) after each atom.
Fractional coordinates of all 8 atoms:
Nb1 0.0000 0.1204 0.0000  2 O 1.95
Nb2 0.0000 0.8796 0.5000  2 O 1.95
Hg1 0.5000 0.4126 0.5113  2 P 2.76, 2 Hg 2.90
Hg2 0.5000 0.5874 0.0113  2 P 2.76, 2 Hg 2.90
P1 0.0000 0.1716 0.5009  3 Nb 2.43-2.55
P2 0.0000 0.8284 0.0009  3 Nb 2.43-2.55
O1 0.5000 0.1766 0.0006  2 Nb 1.95
O2 0.5000 0.8234 0.5006  2 Nb 1.95

=====

Run b
The following is a GGA-PBE calculation of a relaxed structure of NbHgPO, from OQMD via LeMat-Bulk.

As for the total moment: 0.0 μB/f.u.

abc: 4.8768 4.8768 5.0707
angles: 90.00 90.00 90.00
With the nearest neighbours (Å) after each atom.
Fractional coordinates of all 8 atoms:
Nb1 0.2500 0.7500 0.0000  2 O 2.54, 4 P 2.55
Nb2 0.7500 0.2500 0.0000  2 O 2.54, 4 P 2.55
Hg1 0.2500 0.2500 0.3642  2 P 2.48-2.59, 4 O 2.53
Hg2 0.7500 0.7500 0.6358  2 P 2.48-2.59, 4 O 2.53
P1 0.2500 0.2500 0.8524  2 Hg 2.48-2.59, 4 Nb 2.55
P2 0.7500 0.7500 0.1476  2 Hg 2.48-2.59, 4 Nb 2.55
O1 0.2500 0.7500 0.5000  4 Hg 2.53, 2 Nb 2.54
O2 0.7500 0.2500 0.5000  4 Hg 2.53, 2 Nb 2.54

=====

Stability summary: most stable run a, least stable run b.

=====

Run a
The following is a GGA-PBE calculation of a relaxed structure of RbNbHg, from OQMD via LeMat-Bulk.

As for the total moment: 4.9 μB/f.u.

abc: 8.0054 8.0054 8.0054
angles: 90.00 90.00 90.00
With the nearest neighbours (Å) after each atom.
Fractional coordinates of all 12 atoms:
Rb1 0.0000 0.0000 0.0000  4 Hg 3.47, 4 Nb 3.47
Rb2 0.0000 0.5000 0.5000  4 Hg 3.47, 4 Nb 3.47
Rb3 0.5000 0.0000 0.5000  4 Hg 3.47, 4 Nb 3.47
Rb4 0.5000 0.5000 0.0000  4 Hg 3.47, 4 Nb 3.47
Nb1 0.2500 0.2500 0.2500  4 Rb 3.47
Nb2 0.2500 0.7500 0.7500  4 Rb 3.47
Nb3 0.7500 0.2500 0.7500  4 Rb 3.47
Nb4 0.7500 0.7500 0.2500  4 Rb 3.47
Hg1 0.2500 0.2500 0.7500  4 Rb 3.47
Hg2 0.2500 0.7500 0.2500  4 Rb 3.47
Hg3 0.7500 0.2500 0.2500  4 Rb 3.47
Hg4 0.7500 0.7500 0.7500  4 Rb 3.47

=====

Run b
The following is a GGA-PBE calculation of a relaxed structure of RbNbHg, from OQMD via LeMat-Bulk.

As for the total moment: 4.0 μB/f.u.

abc: 7.5884 7.5884 7.5884
angles: 90.00 90.00 90.00
With the nearest neighbours (Å) after each atom.
Fractional coordinates of all 12 atoms:
Rb1 0.0000 0.0000 0.0000  4 Hg 3.29
Rb2 0.0000 0.5000 0.5000  4 Hg 3.29
Rb3 0.5000 0.0000 0.5000  4 Hg 3.29
Rb4 0.5000 0.5000 0.0000  4 Hg 3.29
Nb1 0.0000 0.0000 0.5000  4 Hg 3.29
Nb2 0.0000 0.5000 0.0000  4 Hg 3.29
Nb3 0.5000 0.0000 0.0000  4 Hg 3.29
Nb4 0.5000 0.5000 0.5000  4 Hg 3.29
Hg1 0.2500 0.2500 0.7500  4 Nb 3.29, 4 Rb 3.29
Hg2 0.2500 0.7500 0.2500  4 Nb 3.29, 4 Rb 3.29
Hg3 0.7500 0.2500 0.2500  4 Nb 3.29, 4 Rb 3.29
Hg4 0.7500 0.7500 0.7500  4 Nb 3.29, 4 Rb 3.29

=====

Stability summary: most stable run b, least stable run a.